Below is DyErAl after structural relaxation, with properties calculated at the PBE level.

```
DyErAl
1.0
-2.8695 -1.1740 3.2726
-1.1217 -3.7038 -2.3121
5.8793 -4.0888 3.6656
Al Er Dy
2 2 2
direct
0.7485 0.2515 0.7323
0.2515 0.7485 0.2677
0.7515 0.2485 0.3573
0.2485 0.7515 0.6427
0.2500 0.2500 0.0000
0.7500 0.7500 0.0000
```

Calculated values
- relative energy among the computed polymorphs (eV per atom) = 0.107
- formation energy (eV/atom) = -0.150
- total magnetic moment (μB/f.u.) = 0.0
- final energy (eV per atom) = -4.452

---

Below is Dy4ErAl4 after structural relaxation, with properties calculated at the PBE level.

```
Dy4ErAl4
1.0
5.7872 0.0000 0.0000
0.0000 8.7971 0.0000
0.0000 0.0000 8.7971
Dy Al Er
8 8 2
direct
0.3832 0.4260 0.8335
0.3832 0.5740 0.1665
0.8832 0.6665 0.9260
0.6168 0.8335 0.5740
0.6168 0.1665 0.4260
0.1168 0.0740 0.6665
0.8832 0.3335 0.0740
0.1168 0.9260 0.3335
0.3997 0.1937 0.0952
0.8997 0.4048 0.6937
0.1003 0.6937 0.5952
0.6003 0.0952 0.8063
0.3997 0.8063 0.9048
0.1003 0.3063 0.4048
0.6003 0.9048 0.1937
0.8997 0.5952 0.3063
0.0000 0.0000 0.0000
0.5000 0.5000 0.5000
```

Calculated values
- formation energy (eV/atom) = -0.161
- total magnetic moment (μB/f.u.) = 0.0
- final energy (eV per atom) = -4.377

---

Below is Dy5ErAl2 after structural relaxation, with properties calculated at the PBE level.

```
Dy5ErAl2
1.0
3.5057 0.0000 0.0000
1.7528 8.0308 -0.4817
1.7528 1.9567 7.8036
Dy Al Er
5 2 1
direct
0.0000 0.5000 0.5000
0.6368 0.5890 0.1373
0.3632 0.4110 0.8627
0.3632 0.8627 0.4110
0.6368 0.1373 0.5890
0.2628 0.2372 0.2372
0.7372 0.7628 0.7628
0.0000 0.0000 0.0000
```

Calculated values
- formation energy (eV/atom) = -0.081
- total magnetic moment (μB/f.u.) = 0.0
- final energy (eV per atom) = -4.464

---

Below is DyErAl after structural relaxation, with properties calculated at the PBE level.

```
DyErAl
1.0
3.5327 0.0000 0.0000
0.0000 5.0438 0.0000
0.0000 -2.5219 4.3681
Er Dy Al
1 1 1
direct
0.3923 0.3333 0.6667
0.9516 0.0000 0.0000
0.6560 0.6667 0.3333
```

Calculated values
- relative energy among the computed polymorphs (eV per atom) = 0.103
- formation energy (eV/atom) = -0.154
- total magnetic moment (μB/f.u.) = 0.0
- final energy (eV per atom) = -4.456

---

Below is Dy4ErAl5 after structural relaxation, with properties calculated at the PBE level.

```
Dy4ErAl5
1.0
-0.0018 1.8517 -3.0619
3.0534 -1.5955 -0.9667
-9.4371 -13.2202 -7.9892
Al Dy Er
5 4 1
direct
0.5000 0.5000 0.5000
0.5000 0.5000 0.0976
0.5000 0.5000 0.2989
0.5000 0.5000 0.9024
0.5000 0.5000 0.7011
0.0000 0.0000 0.8017
0.0000 0.0000 0.6006
0.0000 0.0000 0.1983
0.0000 0.0000 0.3994
0.0000 0.0000 0.0000
```

Calculated values
- formation energy (eV/atom) = -0.395
- total magnetic moment (μB/f.u.) = 0.0
- final energy (eV per atom) = -4.563

---

Below is DyEr4Al2 after structural relaxation, with properties calculated at the PBE level.

```
DyEr4Al2
1.0
4.9835 0.0000 0.0000
2.4918 4.3159 0.0000
2.4918 1.4386 10.0012
Er Al Dy
4 2 1
direct
0.2979 0.2979 0.1063
0.1019 0.1019 0.6944
0.7021 0.7021 0.8937
0.8981 0.8981 0.3056
0.5999 0.5999 0.2002
0.4001 0.4001 0.7998
0.5000 0.5000 0.5000
```

Calculated values
- relative energy among the computed polymorphs (eV per atom) = 0.187
- formation energy (eV/atom) = 0.107
- total magnetic moment (μB/f.u.) = 0.0
- final energy (eV per atom) = -4.227

---

Below is DyEr3Al8 after structural relaxation, with properties calculated at the PBE level.

```
DyEr3Al8
1.0
-1.4398 -4.5230 2.8342
-0.3732 0.0412 -5.5157
8.5051 -3.0825 -0.5985
Dy Al Er
1 8 3
direct
0.0000 0.0000 0.5676
0.5046 0.4954 0.7507
0.5046 0.0092 0.7507
0.1620 0.3241 0.2495
0.3333 0.6667 0.0004
0.9908 0.4954 0.7507
0.1620 0.8380 0.2495
0.3333 0.6667 0.4997
0.6759 0.8380 0.2495
0.6667 0.3333 0.0672
0.0000 0.0000 0.9325
0.6667 0.3333 0.4321
```

Calculated values
- relative energy among the computed polymorphs (eV per atom) = 0.009
- formation energy (eV/atom) = -0.503
- total magnetic moment (μB/f.u.) = 0.0
- final energy (eV per atom) = -4.522

---

Below is DyEr8Al2 after structural relaxation, with properties calculated at the PBE level.

```
DyEr8Al2
1.0
4.8884 0.0000 -1.5785
-1.1409 7.2298 -3.5332
0.0442 0.4370 8.4955
Al Dy Er
2 1 8
direct
0.7754 0.3580 0.5507
0.2246 0.6420 0.4493
0.5000 0.0000 0.0000
0.3117 0.0485 0.6234
0.0562 0.7342 0.1125
0.6095 0.4720 0.2190
0.9438 0.2658 0.8875
0.1531 0.2215 0.3063
0.8469 0.7785 0.6937
0.6883 0.9515 0.3766
0.3905 0.5280 0.7810
```

Calculated values
- relative energy among the computed polymorphs (eV per atom) = 0.000
- formation energy (eV/atom) = -0.111
- total magnetic moment (μB/f.u.) = 0.0
- final energy (eV per atom) = -4.528